## Li3MnNb4O12 (PBE with a Hubbard U)

Data for Li3MnNb4O12 after structural relaxation.

- SG: P1 (1)
- Calculated total energy: -8.0352 eV per atom

Unit cell a=5.2858 b=5.6221 c=7.7113 alpha=94.83 beta=90.06 gamma=90.15
With the nearest neighbours (Å) after each atom.
Sites, in units of the cell vectors:
Li  0.0000  0.0000  0.0000  4 O 2.09-2.34
Li  0.9999  0.0050  0.4973  3 O 2.10-2.14
Li  0.5010  0.4926  0.0034  6 O 2.11-2.33
Mn  0.4974  0.4994  0.4969  6 O 2.11-2.36
Nb  0.0028  0.5589  0.2081  5 O 1.91-2.09
Nb  0.4987  0.0752  0.7184  6 O 1.95-2.14
Nb  0.5062  0.0543  0.2117  4 O 1.91-2.08
Nb  0.9979  0.5792  0.7197  6 O 1.94-2.14
O  0.1147  0.5938  0.4554  2 Nb 1.99-2.14, 1 Mn 2.12
O  0.1843  0.8992  0.7611  2 Nb 1.97-2.05, 1 Li 2.12
O  0.1947  0.2788  0.1397  1 Nb 1.91, 1 Li 2.09
O  0.3042  0.7757  0.1424  2 Nb 1.93-2.09, 1 Li 2.12
O  0.3130  0.4005  0.7600  2 Nb 1.99-2.08, 1 Li 2.15
O  0.3809  0.0972  0.4549  2 Nb 1.99-2.14, 1 Li 2.11
O  0.6193  0.0937  0.9579  2 Nb 1.95-2.08, 1 Li 2.11
O  0.6789  0.4026  0.2578  2 Nb 1.97-2.16, 1 Mn 2.11
O  0.6945  0.7827  0.6398  2 Nb 2.00-2.09, 1 Mn 2.13
O  0.7981  0.2859  0.6415  2 Nb 2.00-2.09, 1 Li 2.14
O  0.8176  0.9013  0.2612  1 Nb 1.91, 1 Li 2.10
O  0.8773  0.5973  0.9584  2 Nb 1.94-2.06, 1 Li 2.11